TcAs2P: relaxed, PBE-GGA.

Output
The spin magnetization comes out at 0.00 μB/f.u. As for the space group: No. 10. The calculation puts the formation energy at 449 meV per atom. The calculation puts the calculated volume at 15.8 Å³/atom.

Unit cell a=3.146 b=4.429 c=5.629 alpha=53.45 beta=90.00 gamma=90.00
Atoms (fractional coordinates):
Tc: 0.000 0.000 0.500
As: 0.000 0.000 0.000
P: 0.500 0.500 0.500
As: 0.500 0.500 0.000

***

Be4NiRu: relaxed, PBE-GGA.

Output
The value obtained for the polymorph energy (0 for the lowest one) is 309 meV/atom. The spin magnetization comes out at 0.00 μB/f.u. As for the space group: No. 47. The calculation puts the formation energy at 1 meV per atom. The calculation puts the calculated volume at 10.1 Å³/atom.

Unit cell a=2.400 b=6.874 c=3.681 alpha=90.00 beta=90.00 gamma=90.00
Atoms (fractional coordinates):
Be: 0.000 0.781 0.500
Be: 0.500 0.686 0.000
Be: 0.500 0.314 0.000
Ni: 0.500 0.500 0.500
Be: 0.000 0.219 0.500
Ru: 0.000 0.000 0.000

***

ScCo2Ni2: relaxed, PBE-GGA.

Output
The value obtained for the polymorph energy (0 for the lowest one) is 28 meV/atom. The spin magnetization comes out at 3.76 μB/f.u. As for the space group: No. 127. The calculation puts the formation energy at -49 meV per atom. The calculation puts the calculated volume at 12.8 Å³/atom.

Unit cell a=6.959 b=6.959 c=2.638 alpha=90.00 beta=90.00 gamma=90.00
Each line ends with the local moment (μB).
Atoms (fractional coordinates):
Co: 0.621 0.121 0.000  1.51
Ni: 0.675 0.825 0.500  0.61
Sc: 0.500 0.500 0.000  -0.29
Co: 0.879 0.621 0.000  1.50
Sc: 0.000 0.000 0.000  -0.29
Ni: 0.325 0.175 0.500  0.61
Co: 0.379 0.879 0.000  1.51
Co: 0.121 0.379 0.000  1.50
Ni: 0.175 0.675 0.500  0.62
Ni: 0.825 0.325 0.500  0.62